This record from Alexandria via LeMat-Bulk describes PmMn2C3 after structural relaxation. The functional is PBE.

The structure in POSCAR format:
```
PmMn2C3
1.0
-1.984 -0.785 -4.404
2.679 -6.024 -0.133
-5.153 1.272 2.095
Pm Mn C
2 4 6
Cartesian
-3.724 -1.609 -2.113 Pm
-0.734 -3.928 -0.328 Pm
-0.485 -1.533 -2.227 Mn
1.179 -5.276 -2.310 Mn
2.171 -4.883 -0.108 Mn
0.507 -1.141 -0.025 Mn
-3.458 -2.321 0.613 C
-1.000 -3.216 -3.054 C
-0.428 -4.501 -3.083 C
-4.030 -1.036 0.641 C
-1.135 -0.488 -0.761 C
-3.323 -5.050 -1.681 C
```

Computed properties:
Space-group type = Cmcm, No. 63
VASP energy = -8.49 eV per atom
Formation energy = -0.033 eV per atom